[1]
VASP calculation (PBE) on a relaxed Co3Te8Pt crystal.

Unit cell a=6.7122 b=6.7122 c=8.6323 alpha=120.82 beta=120.82 gamma=70.55
Fractional positions:
Co1 0.0000 0.0000 0.0000
Co2 0.0000 0.5000 0.5000
Co3 0.5000 0.0000 0.5000
Te1 0.0306 0.5543 0.8272
Te2 0.0493 0.0493 0.3353
Te3 0.4443 0.4443 0.6485
Te4 0.4457 0.9694 0.1728
Te5 0.5543 0.0306 0.8272
Te6 0.5557 0.5557 0.3515
Te7 0.9507 0.9507 0.6647
Te8 0.9694 0.4457 0.1728
Pt1 0.5000 0.5000 0.0000

Output
* formation energy (no corrections): -247 meV per atom
* calculated volume: 285.50 Å³/cell
* DOS at the Fermi energy: 0.4932 states/eV/atom
* total DFT energy (no corrections): -4.621 eV/atom
* SG: C2/m (12)
* theoretical density: 8100 kg/m³

=====

[2]
VASP calculation (PBE) on a relaxed CoTePt2 crystal.

Unit cell a=2.9685 b=2.9685 c=7.7223 alpha=90.00 beta=90.00 gamma=90.00
Fractional positions:
Co1 0.0000 0.0000 0.0000
Te1 0.0000 0.0000 0.5000
Pt1 0.5000 0.5000 0.2077
Pt2 0.5000 0.5000 0.7923

Output
* formation energy (no corrections): 181 meV per atom
* calculated volume: 68.05 Å³/cell
* DOS at the Fermi energy: 1.1466 states/eV/atom
* total DFT energy (no corrections): -5.402 eV/atom
* SG: P4/mmm (123)
* theoretical density: 14073 kg/m³

=====

[3]
VASP calculation (PBE) on a relaxed Th4CoTe2Pt crystal.

Unit cell a=7.0445 b=4.3466 c=7.9132 alpha=90.00 beta=106.69 gamma=90.00
Fractional positions:
Th1 0.2334 0.0000 0.2011
Th2 0.2401 0.5000 0.8011
Th3 0.7599 0.5000 0.1989
Th4 0.7666 0.0000 0.7989
Co1 0.0000 0.5000 0.0000
Te1 0.0000 0.0000 0.5000
Te2 0.5000 0.5000 0.5000
Pt1 0.5000 0.0000 0.0000

Output
* formation energy (no corrections): -955 meV per atom
* calculated volume: 232.10 Å³/cell
* DOS at the Fermi energy: 0.7343 states/eV/atom
* total DFT energy (no corrections): -7.094 eV/atom
* SG: P2/m (10)
* theoretical density: 10284 kg/m³

=====

[4]
VASP calculation (PBE) on a relaxed YCo2TePt crystal.

Unit cell a=4.7162 b=4.7162 c=5.1669 alpha=90.00 beta=90.00 gamma=90.00
Fractional positions:
Y1 0.0000 0.0000 0.0000
Co1 0.0000 0.5000 0.0000
Co2 0.5000 0.0000 0.0000
Te1 0.5000 0.5000 0.5000
Pt1 0.0000 0.0000 0.5000

Output
* formation energy (no corrections): 1260 meV per atom
* calculated volume: 114.92 Å³/cell
* DOS at the Fermi energy: 1.3653 states/eV/atom
* total DFT energy (no corrections): -4.712 eV/atom
* SG: P4/mmm (123)
* theoretical density: 7650 kg/m³

=====

- Which of these has the lowest theoretical density?
  YCo2TePt

=====

- Look up the theoretical density of the first one.
  8100 kg/m³

=====

- Which formula does entry 1 have?
  Co3Te8Pt